No. 1
# LiPm3Ho4S8 PBE-GGA relaxed
data_LiPm3Ho4S8
_chemical_formula_sum 'Li3 Pm9 Ho12 S24'
_cell_length_a 7.8660
_cell_length_b 7.8660
_cell_length_c 19.3397
_cell_angle_alpha 90.00
_cell_angle_beta 90.00
_cell_angle_gamma 120.00
_symmetry_space_group_name_H-M 'R -3 m'
_symmetry_Int_Tables_number 166
_symmetry_space_group_name_Hall '-R 3 2"'
loop_
_atom_site_label
_atom_site_type_symbol
_atom_site_fract_x
_atom_site_fract_y
_atom_site_fract_z
Li1 Li 0.0000 0.0000 0.0000
Pm1 Pm 0.0000 0.5000 0.0000
Ho1 Ho 0.0000 0.0000 0.5000
Ho2 Ho 0.0000 0.5000 0.5000
S1 S 0.0000 0.0000 0.2454
S2 S 0.0091 0.5045 0.7523
# Formation energy without anion corrections (meV per atom): -1962
# Calculated volume (Å³ per atom): 21.59

=====

No. 2
# Li2PmHo2Sb2 PBE-GGA relaxed
data_Li2PmHo2Sb2
_chemical_formula_sum 'Li6 Pm3 Ho6 Sb6'
_cell_length_a 4.7508
_cell_length_b 4.7508
_cell_length_c 26.5993
_cell_angle_alpha 90.00
_cell_angle_beta 90.00
_cell_angle_gamma 120.00
_symmetry_space_group_name_H-M 'R -3 m'
_symmetry_Int_Tables_number 166
_symmetry_space_group_name_Hall '-R 3 2"'
loop_
_atom_site_label
_atom_site_type_symbol
_atom_site_fract_x
_atom_site_fract_y
_atom_site_fract_z
Li1 Li 0.0000 0.0000 0.0903
Pm1 Pm 0.0000 0.0000 0.5000
Ho1 Ho 0.0000 0.0000 0.3690
Sb1 Sb 0.0000 0.0000 0.2385
# Formation energy without anion corrections (meV per atom): -559
# Calculated volume (Å³ per atom): 24.76

=====

No. 3
# Li2Pm3HoSe6 PBE-GGA relaxed
data_Li2Pm3HoSe6
_chemical_formula_sum 'Li4 Pm6 Ho2 Se12'
_cell_length_a 7.112
_cell_length_b 12.318
_cell_length_c 7.096
_cell_angle_alpha 90.00
_cell_angle_beta 109.51
_cell_angle_gamma 90.00
_symmetry_space_group_name_H-M 'C 1 2/m 1'
_symmetry_Int_Tables_number 12
_symmetry_space_group_name_Hall '-C 2y'
loop_
_atom_site_label
_atom_site_type_symbol
_atom_site_fract_x
_atom_site_fract_y
_atom_site_fract_z
Li1 Li 0.000 0.167 0.000
Pm1 Pm 0.000 0.000 0.500
Pm2 Pm 0.000 0.333 0.500
Ho1 Ho 0.000 0.500 0.000
Se1 Se 0.242 0.000 0.235
Se2 Se 0.246 0.332 0.234
# Formation energy without anion corrections (meV per atom): -1735
# Calculated volume (Å³ per atom): 24.41

=====

No. 4
# LiPmHo2Se4 PBE-GGA relaxed
data_LiPmHo2Se4
_chemical_formula_sum 'Li1 Pm1 Ho2 Se4'
_cell_length_a 7.078
_cell_length_b 4.063
_cell_length_c 7.081
_cell_angle_alpha 90.00
_cell_angle_beta 109.21
_cell_angle_gamma 90.00
_symmetry_space_group_name_H-M 'P 1 2/m 1'
_symmetry_Int_Tables_number 10
_symmetry_space_group_name_Hall '-P 2y'
loop_
_atom_site_label
_atom_site_type_symbol
_atom_site_fract_x
_atom_site_fract_y
_atom_site_fract_z
Li1 Li 0.000 0.000 0.000
Pm1 Pm 0.500 0.500 0.000
Ho1 Ho 0.000 0.500 0.500
Ho2 Ho 0.500 0.000 0.500
Se1 Se 0.239 0.000 0.746
Se2 Se 0.243 0.500 0.251
# Formation energy without anion corrections (meV per atom): -1743
# Calculated volume (Å³ per atom): 24.04

=====

No. 5
# LiPm2HoSe4 PBE-GGA relaxed
data_LiPm2HoSe4
_chemical_formula_sum 'Li1 Pm2 Ho1 Se4'
_cell_length_a 7.097
_cell_length_b 4.104
_cell_length_c 7.132
_cell_angle_alpha 90.00
_cell_angle_beta 109.31
_cell_angle_gamma 90.00
_symmetry_space_group_name_H-M 'P 1 2/m 1'
_symmetry_Int_Tables_number 10
_symmetry_space_group_name_Hall '-P 2y'
loop_
_atom_site_label
_atom_site_type_symbol
_atom_site_fract_x
_atom_site_fract_y
_atom_site_fract_z
Li1 Li 0.000 0.000 0.000
Pm1 Pm 0.000 0.500 0.500
Pm2 Pm 0.500 0.000 0.500
Ho1 Ho 0.500 0.500 0.000
Se1 Se 0.242 0.500 0.234
Se2 Se 0.250 0.000 0.766
# Formation energy without anion corrections (meV per atom): -1757
# Calculated volume (Å³ per atom): 24.50

=====

No. 6
# LiPm2HoSe5 PBE-GGA relaxed
data_LiPm2HoSe5
_chemical_formula_sum 'Li4 Pm8 Ho4 Se20'
_cell_length_a 4.118
_cell_length_b 17.213
_cell_length_c 12.423
_cell_angle_alpha 90.00
_cell_angle_beta 90.00
_cell_angle_gamma 90.00
_symmetry_space_group_name_H-M 'C m c 21'
_symmetry_Int_Tables_number 36
_symmetry_space_group_name_Hall 'C 2c -2'
loop_
_atom_site_label
_atom_site_type_symbol
_atom_site_fract_x
_atom_site_fract_y
_atom_site_fract_z
Li1 Li 0.000 0.014 0.000
Pm1 Pm 0.000 0.375 0.815
Pm2 Pm 0.000 0.393 0.204
Ho1 Ho 0.000 0.303 0.521
Se1 Se 0.000 0.000 0.303
Se2 Se 0.000 0.138 0.517
Se3 Se 0.000 0.192 0.862
Se4 Se 0.000 0.215 0.180
Se5 Se 0.000 0.453 0.591
# Formation energy without anion corrections (meV per atom): -1745
# Calculated volume (Å³ per atom): 24.46

=====

No. 7
# LiPm4HoSe8 PBE-GGA relaxed
data_LiPm4HoSe8
_chemical_formula_sum 'Li3 Pm12 Ho3 Se24'
_cell_length_a 8.6350
_cell_length_b 8.6350
_cell_length_c 20.3736
_cell_angle_alpha 90.00
_cell_angle_beta 90.00
_cell_angle_gamma 120.00
_symmetry_space_group_name_H-M 'R 3 m'
_symmetry_Int_Tables_number 160
_symmetry_space_group_name_Hall 'R 3 -2"'
loop_
_atom_site_label
_atom_site_type_symbol
_atom_site_fract_x
_atom_site_fract_y
_atom_site_fract_z
Li1 Li 0.0000 0.0000 0.0000
Pm1 Pm 0.0000 0.0000 0.3844
Pm2 Pm 0.1673 0.3346 0.8322
Ho1 Ho 0.0000 0.0000 0.6174
Se1 Se 0.0000 0.0000 0.2448
Se2 Se 0.0000 0.0000 0.7529
Se3 Se 0.0310 0.5155 0.7482
Se4 Se 0.1742 0.3484 0.5794
# Formation energy without anion corrections (meV per atom): -1698
# Calculated volume (Å³ per atom): 31.32

=====

No. 8
# LiPmHoSe3 PBE-GGA relaxed
data_LiPmHoSe3
_chemical_formula_sum 'Li2 Pm2 Ho2 Se6'
_cell_length_a 8.409
_cell_length_b 4.001
_cell_length_c 8.810
_cell_angle_alpha 90.00
_cell_angle_beta 103.01
_cell_angle_gamma 90.00
_symmetry_space_group_name_H-M 'P 1 21/m 1'
_symmetry_Int_Tables_number 11
_symmetry_space_group_name_Hall '-P 2yb'
loop_
_atom_site_label
_atom_site_type_symbol
_atom_site_fract_x
_atom_site_fract_y
_atom_site_fract_z
Li1 Li 0.086 0.250 0.085
Pm1 Pm 0.189 0.250 0.726
Ho1 Ho 0.334 0.750 0.337
Se1 Se 0.095 0.250 0.370
Se2 Se 0.223 0.750 0.999
Se3 Se 0.431 0.750 0.673
# Formation energy without anion corrections (meV per atom): -1662
# Calculated volume (Å³ per atom): 24.07